Record 1
Y2Er3TmS6: relaxed, PBE-GGA.

Output
The calculation puts the uncorrected formation energy at -1964 meV per atom. The symmetry is C2/m (12). The value obtained for the electronic total energy is -79.4 eV/f.u.

```
Y2Er3TmS6
1.0
8.443 -1.935 0.000
8.443 1.935 0.000
-1.810 0.000 7.572
Y Er Tm S
2 3 1 6
Cartesian
2.219 0.000 2.533 Y
12.858 0.000 5.038 Y
1.328 0.000 6.307 Er
7.538 0.000 3.786 Er
13.749 0.000 1.265 Er
8.443 0.000 0.000 Tm
-1.337 0.000 5.697 S
3.982 0.000 6.972 S
4.903 0.000 3.133 S
10.173 0.000 4.439 S
11.095 0.000 0.600 S
16.413 0.000 1.874 S
```



Record 2
YEr3Tm2S6: relaxed, PBE-GGA.

Output
The calculation puts the uncorrected formation energy at -1953 meV per atom. The symmetry is C2/m (12). The value obtained for the electronic total energy is -77.3 eV/f.u.

```
YEr3Tm2S6
1.0
8.415 -1.929 0.000
8.415 1.929 0.000
-1.804 0.000 7.545
Y Er Tm S
1 3 2 6
Cartesian
0.000 0.000 0.000 Y
-0.902 0.000 3.772 Er
5.330 0.000 1.254 Er
9.695 0.000 6.291 Er
4.414 0.000 5.038 Tm
10.611 0.000 2.507 Tm
1.767 0.000 4.392 S
2.679 0.000 0.648 S
7.054 0.000 5.628 S
7.971 0.000 1.917 S
12.346 0.000 6.896 S
13.259 0.000 3.152 S
```



Record 3
Y2ErTmS6: relaxed, PBE-GGA.

Output
The calculation puts the uncorrected formation energy at -2064 meV per atom. The symmetry is R3 (146). The value obtained for the electronic total energy is -67.4 eV/f.u.

```
Y2ErTmS6
1.0
3.436 1.984 6.146
-3.436 1.984 6.146
0.000 -3.968 6.146
Y Er Tm S
2 1 1 6
Cartesian
0.000 0.000 0.000 Y
0.000 0.000 9.214 Y
0.000 0.000 3.694 Er
0.000 0.000 12.906 Tm
-1.077 -2.194 8.018 S
-2.066 0.038 11.095 S
-1.361 2.029 8.018 S
1.000 -1.808 11.095 S
2.438 0.164 8.018 S
1.066 1.770 11.095 S
```



Record 4
Y4ErTmS8: relaxed, PBE-GGA.

Output
The calculation puts the uncorrected formation energy at -1936 meV per atom. The symmetry is R3m (160). The value obtained for the electronic total energy is -95.0 eV/f.u.

```
Y4ErTmS8
1.0
4.015 2.318 6.550
-4.015 2.318 6.550
0.000 -4.636 6.550
Y Er Tm S
4 1 1 8
Cartesian
0.000 0.000 0.000 Y
-2.004 -1.157 9.001 Y
2.004 -1.157 9.001 Y
0.000 2.314 9.001 Y
0.000 0.000 12.270 Er
0.000 0.000 4.901 Tm
0.000 0.000 7.473 S
0.000 -2.192 10.619 S
-1.898 1.096 10.619 S
-1.869 -1.079 13.942 S
1.898 1.096 10.619 S
1.869 -1.079 13.942 S
0.000 2.158 13.942 S
0.000 0.000 17.044 S
```



Record 5
YEr4Tm3S8: relaxed, PBE-GGA.

Output
The calculation puts the uncorrected formation energy at -1945 meV per atom. The symmetry is R-3m (166). The value obtained for the electronic total energy is -102.3 eV/f.u.

```
YEr4Tm3S8
1.0
3.862 2.230 6.310
-3.862 2.230 6.310
0.000 -4.460 6.310
Y Er Tm S
1 4 3 8
Cartesian
0.000 0.000 0.000 Y
-3.862 0.000 9.466 Er
-1.931 1.115 3.155 Er
1.931 1.115 3.155 Er
0.000 0.000 9.466 Er
-1.931 -1.115 6.310 Tm
-1.931 1.115 12.621 Tm
0.000 2.230 6.310 Tm
0.000 0.000 4.748 S
0.000 -2.207 7.889 S
-1.911 1.104 7.889 S
-1.911 -1.104 11.042 S
1.911 1.104 7.889 S
1.911 -1.104 11.042 S
0.000 2.207 11.042 S
0.000 0.000 14.183 S
```



Record 6
Er2TmZrS4: relaxed, PBE-GGA.

Output
The calculation puts the uncorrected formation energy at -1799 meV per atom. The symmetry is P2/m (10). The value obtained for the electronic total energy is -53.0 eV/f.u.

```
Er2TmZrS4
1.0
6.606 0.000 0.000
0.000 3.826 0.000
-2.231 0.000 6.226
Er Tm Zr S
2 1 1 4
Cartesian
0.000 0.000 0.000 Er
-1.115 1.913 3.113 Er
2.188 0.000 3.113 Tm
3.303 1.913 0.000 Zr
1.118 1.913 1.553 S
0.001 0.000 4.688 S
4.375 0.000 1.538 S
3.258 1.913 4.673 S
```



- Look up the electronic total energy of the second one.
  -77.3 eV/f.u.



- Look up the electronic total energy of the sixth one.
  -53.0 eV/f.u.



- What is the formula in the fifth record?
  YEr4Tm3S8